1.
# Ti2Ga3Pd3 | Alexandria via LeMat-Bulk | PBE-GGA | optimized geometry
# Calculated formation energy (eV per atom): -0.56
# DOS at the Fermi energy (states/eV/f.u.): 4.3
# Symmetry: No. 193
# E_tot (eV/f.u.): -44.89
data_Ti2Ga3Pd3
_chemical_formula_sum 'Ti4 Ga6 Pd6'
_cell_length_a 7.696
_cell_length_b 7.696
_cell_length_c 5.217
_cell_angle_alpha 90.00
_cell_angle_beta 90.00
_cell_angle_gamma 120.00
_space_group_name_H-M_alt 'P 1'
_space_group_IT_number 1
loop_
_space_group_symop_operation_xyz
'x,y,z'
loop_
_atom_site_label
_atom_site_fract_x
_atom_site_fract_y
_atom_site_fract_z
Ti1 0.333 0.667 0.000
Ti2 0.333 0.667 0.500
Ti3 0.667 0.333 0.000
Ti4 0.667 0.333 0.500
Ga1 0.000 0.342 0.250
Ga2 0.000 0.658 0.750
Ga3 0.342 0.000 0.250
Ga4 0.342 0.342 0.750
Ga5 0.658 0.000 0.750
Ga6 0.658 0.658 0.250
Pd1 0.000 0.320 0.750
Pd2 0.000 0.680 0.250
Pd3 0.320 0.000 0.750
Pd4 0.320 0.320 0.250
Pd5 0.680 0.000 0.250
Pd6 0.680 0.680 0.750



2.
# TaSbTe2 | Alexandria via LeMat-Bulk | PBE-GGA | optimized geometry
# DOS at the Fermi energy (states/eV/f.u.): 4.4
# E_form (uncorrected) (eV per atom): 0.59
# Symmetry: No. 122
# E_tot (eV/f.u.): -19.91
data_TaSbTe2
_chemical_formula_sum 'Ta2 Sb2 Te4'
_cell_length_a 7.551
_cell_length_b 7.551
_cell_length_c 7.551
_cell_angle_alpha 123.62
_cell_angle_beta 123.62
_cell_angle_gamma 83.84
_space_group_name_H-M_alt 'P 1'
_space_group_IT_number 1
loop_
_space_group_symop_operation_xyz
'x,y,z'
loop_
_atom_site_label
_atom_site_fract_x
_atom_site_fract_y
_atom_site_fract_z
Ta1 0.000 0.000 0.000
Ta2 0.750 0.250 0.500
Sb1 0.250 0.750 0.500
Sb2 0.500 0.500 0.000
Te1 0.074 0.625 0.949
Te2 0.375 0.324 0.449
Te3 0.676 0.125 0.051
Te4 0.875 0.926 0.551



3.
# Pm2PtRhO6 | Alexandria via LeMat-Bulk | PBE-GGA | optimized geometry
# DOS at the Fermi energy (states/eV/f.u.): 4.3
# E_form (uncorrected) (eV per atom): -1.98
# Symmetry: No. 12
# E_tot (eV/f.u.): -72.44
data_Pm2PtRhO6
_chemical_formula_sum 'Pm2 Pt1 Rh1 O6'
_cell_length_a 6.032
_cell_length_b 6.032
_cell_length_c 4.781
_cell_angle_alpha 106.50
_cell_angle_beta 106.50
_cell_angle_gamma 53.19
_space_group_name_H-M_alt 'P 1'
_space_group_IT_number 1
loop_
_space_group_symop_operation_xyz
'x,y,z'
loop_
_atom_site_label
_atom_site_fract_x
_atom_site_fract_y
_atom_site_fract_z
Pm1 0.236 0.236 0.213
Pm2 0.764 0.764 0.787
Pt1 0.000 0.000 0.500
Rh1 0.500 0.500 0.000
O1 0.160 0.669 0.186
O2 0.306 0.306 0.718
O3 0.331 0.840 0.814
O4 0.669 0.160 0.186
O5 0.694 0.694 0.282
O6 0.840 0.331 0.814



Question: Among the records above, which one has the highest E_tot?
Answer: TaSbTe2



Question: E_tot of number 1 (Ti2Ga3Pd3)?
Answer: -44.89 eV/f.u.